# 1
La2Tb5ErTm: relaxed, GGA-PBE.

```
La2Tb5ErTm
1.0
2.822 -9.981 0.000
2.822 9.981 0.000
0.000 0.000 10.708
La Tb Er Tm
4 10 2 2
direct
0.113 0.887 0.500
0.116 0.884 0.084
0.884 0.116 0.584
0.887 0.113 0.000
0.016 0.984 0.788
0.280 0.720 0.075
0.299 0.701 0.471
0.385 0.615 0.787
0.481 0.519 0.507
0.519 0.481 0.007
0.615 0.385 0.287
0.701 0.299 0.971
0.720 0.280 0.575
0.984 0.016 0.288
0.410 0.590 0.228
0.590 0.410 0.728
0.200 0.800 0.777
0.800 0.200 0.277
```

## Properties
The formation energy is 0.1361 eV per atom. The symmetry is Cmc2_1 (36).



# 2
Tl12Sb6Te: relaxed, GGA-PBE.

```
Tl12Sb6Te
1.0
6.521 3.765 4.220
-6.521 3.765 4.220
0.000 -7.530 4.220
Tl Sb Te
12 6 1
direct
0.144 0.422 0.160
0.160 0.144 0.422
0.162 0.637 0.579
0.363 0.421 0.838
0.421 0.838 0.363
0.422 0.160 0.144
0.578 0.840 0.856
0.579 0.162 0.637
0.637 0.579 0.162
0.838 0.363 0.421
0.840 0.856 0.578
0.856 0.578 0.840
0.012 0.773 0.233
0.227 0.767 0.988
0.233 0.012 0.773
0.767 0.988 0.227
0.773 0.233 0.012
0.988 0.227 0.767
0.500 0.500 0.500
```

## Properties
The symmetry is R-3 (148). Its formation energy without anion corrections is -3 meV/atom.



# 3
YTcH3: relaxed, GGA-PBE.

```
YTcH3
1.0
3.833 0.000 0.000
0.000 3.833 0.000
0.000 0.000 3.833
Y Tc H
1 1 3
direct
0.000 0.000 0.000
0.500 0.500 0.500
0.000 0.000 0.500
0.000 0.500 0.000
0.500 0.000 0.000
```

## Properties
The symmetry is Pm-3m (221). As for the energy relative to the lowest polymorph listed for this composition: 1016 meV/atom.



no.,N(E_F) (states/eV/cell),magnetic moment (Bohr magnetons per cell)
1,24.6,0.00
2,9.5,0.00
3,2.1,0.00